# CoPtO2F

A relaxed CoPtO2F crystal (GGA+U, the Alexandria database).

Summary:
Uncorrected energy: -23.0 eV per formula unit

```
data_CoPtO2F
_chemical_formula_sum 'Co1 Pt1 O2 F1'
_cell_length_a 3.9744
_cell_length_b 3.9744
_cell_length_c 4.2831
_cell_angle_alpha 90.00
_cell_angle_beta 90.00
_cell_angle_gamma 90.00
_space_group_name_H-M_alt 'P 4/m m m'
_space_group_IT_number 123
_space_group_name_Hall '-P 4 2'
loop_
_atom_site_label
_atom_site_fract_x
_atom_site_fract_y
_atom_site_fract_z
Co1 0.0000 0.0000 0.0000
Pt1 0.5000 0.5000 0.5000
O1 0.0000 0.5000 0.5000
F1 0.5000 0.5000 0.0000
```